VASP calculation (PBEsol) on a relaxed NaTc2AgSb crystal.

Output
* space-group type: No. 123
* N(E_F): 3.276 states/eV per cell
* raw formation energy: 2.26 eV/atom
* electronic total energy: -20.50 eV/f.u.
* V: 20.71 Å³ per atom

Cell: 4.6013 4.6013 4.8914 Å, 90.00 90.00 90.00°
Fractional coordinates of all 5 atoms:
Na: 0.0000 0.0000 0.0000
Tc: 0.0000 0.5000 0.0000
Tc: 0.5000 0.0000 0.0000
Ag: 0.5000 0.5000 0.5000
Sb: 0.0000 0.0000 0.5000